No. 1
DFT (GGA-PBEsol) results for a geometry-optimized AgAs2SeBr structure.

## Properties
- ΔE_f (raw): 0.8379 eV per atom
- SG: P4/mmm, No. 123
- Magnetization: 0.045 μB/f.u.
- ρ: 5.58 g/cm³
- Electronic total energy: -3.01 eV/atom

a b c (Å): 4.874 5.042 5.042
angles (deg): 90.00 90.00 90.00
Sites, in units of the cell vectors:
As: 0.000 0.000 0.500
As: 0.000 0.500 0.000
Se: 0.500 0.000 0.000
Br: 0.500 0.500 0.500
Ag: 0.000 0.000 0.000

=====

No. 2
DFT (GGA-PBEsol) results for a geometry-optimized Ag2SnAsBr structure.

## Properties
- ΔE_f (raw): 0.3731 eV per atom
- SG: P4/mmm, No. 123
- Magnetization: 0.000 μB/f.u.
- ρ: 6.33 g/cm³
- Electronic total energy: -3.20 eV/atom

a b c (Å): 4.837 4.837 5.485
angles (deg): 90.00 90.00 90.00
Sites, in units of the cell vectors:
As: 0.000 0.000 0.000
Br: 0.000 0.000 0.500
Sn: 0.500 0.500 0.500
Ag: 0.000 0.500 0.000
Ag: 0.500 0.000 0.000

=====

No. 3
DFT (GGA-PBEsol) results for a geometry-optimized AgSnAs2Br structure.

## Properties
- ΔE_f (raw): 0.5648 eV per atom
- SG: P4/mmm, No. 123
- Magnetization: 0.159 μB/f.u.
- ρ: 5.96 g/cm³
- Electronic total energy: -3.37 eV/atom

a b c (Å): 4.933 4.933 5.221
angles (deg): 90.00 90.00 90.00
Sites, in units of the cell vectors:
As: 0.000 0.500 0.000
As: 0.500 0.000 0.000
Br: 0.000 0.000 0.500
Sn: 0.500 0.500 0.500
Ag: 0.000 0.000 0.000

=====

No. 4
DFT (GGA-PBEsol) results for a geometry-optimized TlAgAsBr2 structure.

## Properties
- ΔE_f (raw): 0.0803 eV per atom
- SG: P4/mmm, No. 123
- Magnetization: 1.759 μB/f.u.
- ρ: 6.27 g/cm³
- Electronic total energy: -2.88 eV/atom

a b c (Å): 4.952 5.407 5.407
angles (deg): 90.00 90.00 90.00
Last column: magnetic moment on the atom in μB.
Sites, in units of the cell vectors:
As: 0.500 0.000 0.000  0.64
Tl: 0.500 0.500 0.500  0.03
Br: 0.000 0.000 0.500  0.08
Br: 0.000 0.500 0.000  0.08
Ag: 0.000 0.000 0.000  0.08

=====

No. 5
DFT (GGA-PBEsol) results for a geometry-optimized ZrAgAs2Br structure.

## Properties
- ΔE_f (raw): 0.1834 eV per atom
- SG: P4/mmm, No. 123
- Magnetization: 0.001 μB/f.u.
- ρ: 5.16 g/cm³
- Electronic total energy: -4.71 eV/atom

a b c (Å): 5.152 5.152 5.197
angles (deg): 90.00 90.00 90.00
Sites, in units of the cell vectors:
As: 0.000 0.500 0.000
As: 0.500 0.000 0.000
Br: 0.000 0.000 0.500
Zr: 0.000 0.000 0.000
Ag: 0.500 0.500 0.500

=====

No. 6
DFT (GGA-PBEsol) results for a geometry-optimized AgAsC3 structure.

## Properties
- SG: Pm-3m, No. 221
- Magnetization: 1.029 μB/f.u.
- ρ: 5.34 g/cm³
- E_form: 16.20 eV per formula unit
- Electronic total energy: -4.23 eV/atom

a b c (Å): 4.082 4.082 4.082
angles (deg): 90.00 90.00 90.00
Last column: magnetic moment on the atom in μB.
Sites, in units of the cell vectors:
As: 0.500 0.500 0.500  -0.09
C: 0.000 0.500 0.000  0.21
C: 0.000 0.000 0.500  0.21
C: 0.500 0.000 0.000  0.21
Ag: 0.000 0.000 0.000  0.07

=====

No. 7
DFT (GGA-PBEsol) results for a geometry-optimized CaAg3As structure.

## Properties
- SG: Pm-3m, No. 221
- Magnetization: 0.000 μB/f.u.
- ρ: 5.55 g/cm³
- E_form: 6.02 eV per formula unit
- Electronic total energy: -2.23 eV/atom

a b c (Å): 5.080 5.080 5.080
angles (deg): 90.00 90.00 90.00
Sites, in units of the cell vectors:
As: 0.500 0.500 0.500
Ca: 0.000 0.000 0.000
Ag: 0.000 0.500 0.000
Ag: 0.000 0.000 0.500
Ag: 0.500 0.000 0.000

=====

No. 8
DFT (GGA-PBEsol) results for a geometry-optimized CaAg2As2 structure.

## Properties
- SG: I4/mmm, No. 139
- Magnetization: 0.000 μB/f.u.
- ρ: 6.60 g/cm³
- E_form: -2.05 eV per formula unit
- Electronic total energy: -4.20 eV/atom

a b c (Å): 4.158 4.158 6.598
angles (deg): 108.37 108.37 90.00
Sites, in units of the cell vectors:
As: 0.392 0.392 0.784
As: 0.608 0.608 0.216
Ca: 0.000 0.000 0.000
Ag: 0.250 0.750 0.500
Ag: 0.750 0.250 0.500

=====

What did the third record say?
DFT (GGA-PBEsol) results for a geometry-optimized AgSnAs2Br structure.

## Properties
- ΔE_f (raw): 0.5648 eV per atom
- SG: P4/mmm, No. 123
- Magnetization: 0.159 μB/f.u.
- ρ: 5.96 g/cm³
- Electronic total energy: -3.37 eV/atom

a b c (Å): 4.933 4.933 5.221
angles (deg): 90.00 90.00 90.00
Sites, in units of the cell vectors:
As: 0.000 0.500 0.000
As: 0.500 0.000 0.000
Br: 0.000 0.000 0.500
Sn: 0.500 0.500 0.500
Ag: 0.000 0.000 0.000